No. 1
# YRhS2

Crystalline YRhS2 at its relaxed geometry (GGA-PBE, Alexandria).

Geometry as extended XYZ:
```
8
Lattice="-2.474 2.474 7.064 2.474 -2.474 7.064 2.474 2.474 -7.064" Properties=species:S:1:pos:R:3 pbc="T T T"
Y 0.000 0.000 0.000
Y 0.000 2.474 3.532
Rh 2.474 0.000 3.532
Rh 0.000 0.000 7.064
S 1.237 -0.949 5.298
S 1.525 1.237 1.766
S 1.237 3.424 -1.766
S 0.949 1.237 8.830
```

Properties
N(E_F) in states/eV/cell: 2.0
Formation energy (no corrections) in eV/f.u.: -4.0
Raw total energy in eV/atom: -6.526
Offset from the most stable computed form in eV per atom: 0.0000
Theoretical density in g/cm³: 4.91
Magnetic moment in μB/cell: 0.0

---

No. 2
# AlSiPN4

Crystalline AlSiPN4 at its relaxed geometry (GGA-PBE, Alexandria).

Geometry as extended XYZ:
```
14
Lattice="3.976 0.000 0.000 -0.720 5.300 0.000 -1.250 -1.333 7.462" Properties=species:S:1:pos:R:3 pbc="T T T"
Al 0.000 0.000 0.000
Al -0.047 1.351 7.412
Si 0.176 2.913 5.181
Si 2.844 2.789 2.062
P 0.994 1.645 2.671
P 2.097 0.326 4.808
N -1.185 2.455 6.219
N 0.029 1.656 1.294
N -0.052 2.765 3.483
N 0.320 -0.384 6.968
N 1.141 0.291 3.464
N 1.336 -0.859 6.022
N 1.593 1.839 5.602
N 2.302 3.912 0.938
```

Properties
N(E_F) in states/eV/cell: 0.0
Formation energy (no corrections) in eV/f.u.: -2.2
Raw total energy in eV/atom: -7.156
Offset from the most stable computed form in eV per atom: 0.4641
Theoretical density in g/cm³: 3.00
Magnetic moment in μB/cell: 0.0

---

No. 3
# Tc2PtW

Crystalline Tc2PtW at its relaxed geometry (GGA-PBE, Alexandria).

Geometry as extended XYZ:
```
8
Lattice="-1.908 1.908 9.141 1.908 -1.908 9.141 1.908 1.908 -9.141" Properties=species:S:1:pos:R:3 pbc="T T T"
Tc 2.863 0.848 -2.285
Tc 0.848 0.954 2.285
Tc -0.954 1.060 6.856
Tc 1.060 0.954 11.426
Pt 0.000 0.000 0.000
Pt 0.000 1.908 4.570
W 1.908 0.000 4.570
W 0.000 0.000 9.141
```

Properties
N(E_F) in states/eV/cell: 11.1
Raw total energy in eV/atom: -9.337
Offset from the most stable computed form in eV per atom: 0.7591
Theoretical density in g/cm³: 14.34
Magnetic moment in μB/cell: 0.0

---

No. 4
# La2Zn5Cu

Crystalline La2Zn5Cu at its relaxed geometry (GGA-PBE, Alexandria).

Geometry as extended XYZ:
```
16
Lattice="2.226 -8.225 0.000 2.226 8.225 0.000 0.000 0.000 9.050" Properties=species:S:1:pos:R:3 pbc="T T T"
La 0.000 0.000 0.000
La 0.000 0.000 4.525
La 2.226 4.915 6.788
La 2.226 -4.915 2.263
Zn 2.226 5.180 0.981
Zn 2.226 5.180 3.544
Zn 2.226 2.469 0.191
Zn 2.226 2.469 4.335
Zn 2.226 1.547 6.788
Zn 2.226 -1.547 2.263
Zn 2.226 -2.469 4.716
Zn 2.226 -2.469 8.860
Zn 2.226 -5.180 5.506
Zn 2.226 -5.180 8.069
Cu 2.226 0.957 2.263
Cu 2.226 -0.957 6.788
```

Properties
N(E_F) in states/eV/cell: 11.2
Raw total energy in eV/atom: -2.838
Theoretical density in g/cm³: 6.70
Magnetic moment in μB/cell: 0.0

---

No. 5
# TmCoIr

Crystalline TmCoIr at its relaxed geometry (GGA-PBE, Alexandria).

Geometry as extended XYZ:
```
6
Lattice="-2.504 2.688 3.631 2.504 -2.688 3.631 2.504 2.688 -3.631" Properties=species:S:1:pos:R:3 pbc="T T T"
Tm 0.000 1.344 0.880
Tm 2.504 1.344 2.751
Co 1.252 1.344 -1.815
Co 1.252 -1.344 1.815
Ir 2.504 0.000 0.000
Ir 0.000 0.000 3.631
```

Properties
N(E_F) in states/eV/cell: 6.9
Raw total energy in eV/atom: -7.420
Theoretical density in g/cm³: 14.27
Magnetic moment in μB/cell: 1.7